Entry from the Alexandria database: an optimized crystal structure of BMoRu2 (PBE).

extended XYZ file:
```
4
Lattice="2.747 0.000 0.000 0.000 2.747 0.000 0.000 0.000 6.557" Properties=species:S:1:pos:R:3 pbc="T T T"
B 0.000 0.000 0.000
Mo 0.000 0.000 3.278
Ru 1.373 1.373 1.300
Ru 1.373 1.373 5.257
```

## Properties
E = -36.16 eV/f.u.
Total magnetic moment = 0.00 Bohr magnetons per cell
ΔH_f (0 K) = -0.025 eV/atom